The following is a DFT calculation (PBE with a Hubbard U) of an optimized crystal structure of Cs2LiCoO4.

Values from the calculation:
- VASP energy (eV per cell) = -307.993

Cell lengths 5.0091, 12.4601, 21.1559 Å; angles 90.00, 90.00, 90.00 degrees
Last column: nearest neighbours and their distance in Å.
Space group Fddd (No. 70, origin choice 2)
Asymmetric unit:
Cs: 0.1250 0.1250 0.2995 [16 per cell]  8 O 3.16-3.43
Li: 0.1250 0.1250 0.1250 [8 per cell]  4 O 1.94
Co: 0.1250 0.1250 0.6250 [8 per cell]  4 O 1.74
O: 0.0970 0.2891 0.8366 [32 per cell]  1 Co 1.74, 1 Li 1.94